The following is a meta-GGA SCAN calculation of a crystal of ReNi2Te relaxed with PBEsol, from Alexandria via LeMat-Bulk.

Unit cell a=3.0765 b=4.3629 c=4.9785 alpha=115.99 beta=108.00 gamma=90.00
Atoms (fractional coordinates):
Ni 0.7395 0.7395 0.4791
Ni 0.2605 0.2605 0.5209
Re 0.5000 0.0000 0.0000
Te 0.0000 0.5000 0.0000

## Properties
As for the symmetry: No. 71. The crystal system is orthorhombic. The uncorrected formation energy is 0.605 eV/atom. The value obtained for the spin magnetization is 0.00 μB per formula unit.